# 1
## K2YNb5O15 (PBE-GGA)

Data for K2YNb5O15 after structural relaxation.

Properties
Total DFT energy (no corrections)   -8.435 eV/atom
V   14.0 A^3/atom
Uncorrected formation energy   -2636 meV/atom
Total moment   0.00 μB/cell

```
K2YNb5O15
1.0
-0.399 2.115 9.094
-7.083 -5.509 -2.609
2.187 -3.211 0.843
K Y Nb O
2 1 5 15
direct
0.300 0.700 0.000
0.700 0.300 0.000
0.000 0.000 0.000
0.318 0.059 0.500
0.059 0.318 0.500
0.682 0.941 0.500
0.941 0.682 0.500
0.500 0.500 0.500
0.127 0.127 0.500
0.163 0.837 0.500
0.272 0.457 0.500
0.837 0.163 0.500
0.873 0.873 0.500
0.278 0.047 0.000
0.722 0.953 0.000
0.543 0.728 0.500
0.047 0.278 0.000
0.500 0.000 0.500
0.457 0.272 0.500
0.953 0.722 0.000
0.500 0.500 0.000
0.728 0.543 0.500
0.000 0.500 0.500
```

***

# 2
## K2Y2NbO6 (PBE-GGA)

Data for K2Y2NbO6 after structural relaxation.

Properties
Total DFT energy (no corrections)   -7.638 eV/atom
V   17.1 A^3/atom
Uncorrected formation energy   -2643 meV/atom
Total moment   1.01 μB/cell

```
K2Y2NbO6
1.0
5.851 0.004 0.096
-2.889 5.088 0.096
-1.010 -1.737 6.261
K Y Nb O
2 2 1 6
direct
0.840 0.160 0.000
0.160 0.840 0.000
0.336 0.664 0.500
0.664 0.336 0.500
0.000 0.000 0.500
0.743 0.743 0.675
0.046 0.362 0.670
0.257 0.257 0.325
0.362 0.046 0.670
0.954 0.638 0.330
0.638 0.954 0.330
```

***

# 3
## K2YNbO6 (PBE-GGA)

Data for K2YNbO6 after structural relaxation.

Properties
Total DFT energy (no corrections)   -7.063 eV/atom
V   15.7 A^3/atom
Uncorrected formation energy   -2215 meV/atom
Total moment   2.03 μB/cell

```
K2YNbO6
1.0
6.058 -0.001 0.001
0.001 6.058 0.002
3.031 3.029 4.285
K Y Nb O
2 1 1 6
direct
0.250 0.750 0.500
0.750 0.250 0.500
0.500 0.500 0.000
0.000 0.000 0.000
0.235 0.765 0.000
0.765 0.765 0.000
0.235 0.235 0.531
0.765 0.235 0.000
0.235 0.235 0.000
0.765 0.765 0.469
```

***

# 4
## K3Y3NbO8 (PBE-GGA)

Data for K3Y3NbO8 after structural relaxation.

Properties
Total DFT energy (no corrections)   -7.513 eV/atom
V   17.0 A^3/atom
Uncorrected formation energy   -2685 meV/atom
Total moment   1.01 μB/cell

```
K3Y3NbO8
1.0
-0.567 6.045 3.158
0.116 -5.778 3.666
6.365 2.216 -3.099
K Y Nb O
3 3 1 8
direct
0.000 0.000 0.000
0.000 0.500 0.000
0.500 0.500 0.000
0.500 0.000 0.500
0.500 0.500 0.500
0.000 0.500 0.500
0.000 0.000 0.500
0.271 0.543 0.315
0.729 0.457 0.685
0.788 0.576 0.329
0.212 0.424 0.671
0.788 0.041 0.329
0.212 0.959 0.671
0.253 0.041 0.329
0.747 0.959 0.671
```

***

# 5
## KZrNbO5 (PBE-GGA)

Data for KZrNbO5 after structural relaxation.

Properties
Total DFT energy (no corrections)   -8.306 eV/atom
V   16.8 A^3/atom
Uncorrected formation energy   -2743 meV/atom
Total moment   0.00 μB/cell

```
KZrNbO5
1.0
-4.132 -0.959 4.544
2.460 -5.581 -1.202
5.847 4.039 3.459
K Zr Nb O
2 2 2 10
direct
0.321 0.679 0.250
0.679 0.321 0.750
0.000 0.000 0.500
0.000 0.000 0.000
0.685 0.315 0.250
0.315 0.685 0.750
0.054 0.946 0.250
0.946 0.054 0.750
0.883 0.292 0.106
0.117 0.708 0.894
0.708 0.117 0.394
0.292 0.883 0.606
0.771 0.629 0.403
0.229 0.371 0.597
0.371 0.229 0.097
0.629 0.771 0.903
```

***

# 6
## K2ZrNb3O12 (PBE-GGA)

Data for K2ZrNb3O12 after structural relaxation.

Properties
Total DFT energy (no corrections)   -7.777 eV/atom
V   17.4 A^3/atom
Uncorrected formation energy   -2197 meV/atom
Total moment   3.09 μB/cell

```
K2ZrNb3O12
1.0
-6.486 -1.833 -3.550
-6.156 -1.888 4.070
-5.960 4.735 0.292
K Zr Nb O
2 1 3 12
direct
0.659 0.659 0.659
0.341 0.341 0.341
0.000 0.000 0.000
0.500 0.000 0.000
0.000 0.500 0.000
0.000 0.000 0.500
0.307 0.307 0.940
0.929 0.929 0.329
0.329 0.929 0.929
0.940 0.307 0.307
0.929 0.329 0.929
0.307 0.940 0.307
0.693 0.693 0.060
0.071 0.071 0.671
0.671 0.071 0.071
0.060 0.693 0.693
0.071 0.671 0.071
0.693 0.060 0.693
```